PBE Mg2HgPb2, optimized geometry; calculated total energy = -2.04 eV/atom; DOS at the Fermi energy = 3.0 states/eV/cell; energy relative to the lowest polymorph listed for this composition = 0.128 eV per atom; M_tot = 0.000 Bohr magnetons per cell
1.0
-2.928 2.048 -3.089
-3.284 -3.258 0.953
-5.544 3.281 3.819
Pb Hg Mg
2 1 2
direct
0.389 0.389 0.222
0.611 0.611 0.778
0.000 0.000 0.000
0.750 0.250 0.500
0.250 0.750 0.500